Below is an optimized crystal structure of Ba2In4Sn3Au, with properties calculated at the PBE level.

Structure (CIF):
```
data_Ba2In4Sn3Au
_space_group_name_H-M_alt 'P 1'
_space_group_IT_number 1
_cell_length_a 5.162
_cell_length_b 5.162
_cell_length_c 11.659
_cell_angle_alpha 90.00
_cell_angle_beta 90.00
_cell_angle_gamma 90.00
loop_
_space_group_symop_operation_xyz
'x,y,z'
loop_
_atom_site_label
_atom_site_fract_x
_atom_site_fract_y
_atom_site_fract_z
_atom_site_occupancy
In1 0.500 0.000 0.616 1
In2 0.000 0.500 0.384 1
Ba1 0.000 0.500 0.734 1
Sn1 0.000 0.500 0.135 1
Ba2 0.500 0.000 0.266 1
In3 0.000 0.000 0.000 1
Sn2 0.500 0.000 0.865 1
Sn3 0.000 0.000 0.500 1
Au1 0.500 0.500 0.500 1
In4 0.500 0.500 0.000 1
```

Summary:
As for the electronic total energy: -3.3953 eV/atom. The energy relative to the elements comes out at -387 meV/atom.

***

Below is an optimized crystal structure of BaInSn2Au, with properties calculated at the PBE level.

Structure (CIF):
```
data_BaInSn2Au
_space_group_name_H-M_alt 'P 1'
_space_group_IT_number 1
_cell_length_a 5.005
_cell_length_b 4.976
_cell_length_c 6.840
_cell_angle_alpha 111.33
_cell_angle_beta 111.46
_cell_angle_gamma 90.00
loop_
_space_group_symop_operation_xyz
'x,y,z'
loop_
_atom_site_label
_atom_site_fract_x
_atom_site_fract_y
_atom_site_fract_z
_atom_site_occupancy
Au1 0.815 0.815 0.630 1
Ba1 0.447 0.447 0.894 1
Sn1 0.049 0.049 0.099 1
In1 0.201 0.701 0.403 1
Sn2 0.700 0.200 0.399 1
```

Summary:
As for the electronic total energy: -3.7116 eV/atom. The energy relative to the elements comes out at -523 meV/atom.

***

Below is an optimized crystal structure of Ba2In4SnAu3, with properties calculated at the PBE level.

Structure (CIF):
```
data_Ba2In4SnAu3
_space_group_name_H-M_alt 'P 1'
_space_group_IT_number 1
_cell_length_a 4.828
_cell_length_b 4.828
_cell_length_c 11.987
_cell_angle_alpha 90.00
_cell_angle_beta 90.00
_cell_angle_gamma 90.00
loop_
_space_group_symop_operation_xyz
'x,y,z'
loop_
_atom_site_label
_atom_site_fract_x
_atom_site_fract_y
_atom_site_fract_z
_atom_site_occupancy
Au1 0.500 0.000 0.871 1
Au2 0.000 0.000 0.500 1
In1 0.000 0.500 0.360 1
In2 0.000 0.000 0.000 1
In3 0.500 0.000 0.640 1
Au3 0.000 0.500 0.129 1
In4 0.500 0.500 0.000 1
Ba1 0.000 0.500 0.752 1
Ba2 0.500 0.000 0.248 1
Sn1 0.500 0.500 0.500 1
```

Summary:
As for the electronic total energy: -3.3756 eV/atom. The energy relative to the elements comes out at -512 meV/atom.

***

Below is an optimized crystal structure of Ba2In6SnAu, with properties calculated at the PBE level.

Structure (CIF):
```
data_Ba2In6SnAu
_space_group_name_H-M_alt 'P 1'
_space_group_IT_number 1
_cell_length_a 7.300
_cell_length_b 7.300
_cell_length_c 14.604
_cell_angle_alpha 75.53
_cell_angle_beta 75.53
_cell_angle_gamma 60.00
loop_
_space_group_symop_operation_xyz
'x,y,z'
loop_
_atom_site_label
_atom_site_fract_x
_atom_site_fract_y
_atom_site_fract_z
_atom_site_occupancy
In1 0.223 0.639 0.914 1
Sn1 0.575 0.575 0.274 1
Au1 0.000 0.000 0.000 1
In2 0.666 0.666 0.591 1
Ba1 0.723 0.723 0.832 1
Sn2 0.425 0.425 0.726 1
Au2 0.500 0.500 0.500 1
In3 0.361 0.777 0.086 1
Ba2 0.894 0.894 0.318 1
In4 0.078 0.666 0.591 1
Ba3 0.277 0.277 0.168 1
In5 0.223 0.223 0.914 1
In6 0.334 0.922 0.409 1
In7 0.666 0.078 0.591 1
Ba4 0.106 0.106 0.682 1
In8 0.639 0.223 0.914 1
In9 0.334 0.334 0.409 1
In10 0.922 0.334 0.409 1
In11 0.777 0.777 0.086 1
In12 0.777 0.361 0.086 1
```

Summary:
As for the electronic total energy: -3.0113 eV/atom. The energy relative to the elements comes out at -256 meV/atom.

***

Below is an optimized crystal structure of Ba2In3SnAu4, with properties calculated at the PBE level.

Structure (CIF):
```
data_Ba2In3SnAu4
_space_group_name_H-M_alt 'P 1'
_space_group_IT_number 1
_cell_length_a 4.937
_cell_length_b 4.937
_cell_length_c 11.166
_cell_angle_alpha 90.00
_cell_angle_beta 90.00
_cell_angle_gamma 90.00
loop_
_space_group_symop_operation_xyz
'x,y,z'
loop_
_atom_site_label
_atom_site_fract_x
_atom_site_fract_y
_atom_site_fract_z
_atom_site_occupancy
Sn1 0.500 0.500 0.500 1
Au1 0.500 0.500 0.000 1
Au2 0.000 0.000 0.000 1
Au3 0.000 0.500 0.369 1
In1 0.500 0.000 0.880 1
In2 0.000 0.000 0.500 1
Ba1 0.500 0.000 0.245 1
In3 0.000 0.500 0.120 1
Ba2 0.000 0.500 0.755 1
Au4 0.500 0.000 0.631 1
```

Summary:
As for the electronic total energy: -3.4747 eV/atom. The energy relative to the elements comes out at -557 meV/atom.

***

Below is an optimized crystal structure of Ba2InSn3Au4, with properties calculated at the PBE level.

Structure (CIF):
```
data_Ba2InSn3Au4
_space_group_name_H-M_alt 'P 1'
_space_group_IT_number 1
_cell_length_a 4.895
_cell_length_b 4.895
_cell_length_c 11.299
_cell_angle_alpha 90.00
_cell_angle_beta 90.00
_cell_angle_gamma 90.00
loop_
_space_group_symop_operation_xyz
'x,y,z'
loop_
_atom_site_label
_atom_site_fract_x
_atom_site_fract_y
_atom_site_fract_z
_atom_site_occupancy
Au1 0.000 0.500 0.368 1
Au2 0.500 0.000 0.632 1
Ba1 0.500 0.000 0.241 1
Au3 0.000 0.000 0.000 1
In1 0.500 0.500 0.500 1
Sn1 0.500 0.000 0.876 1
Sn2 0.000 0.000 0.500 1
Au4 0.500 0.500 0.000 1
Ba2 0.000 0.500 0.759 1
Sn3 0.000 0.500 0.124 1
```

Summary:
As for the electronic total energy: -3.7635 eV/atom. The energy relative to the elements comes out at -593 meV/atom.